(1)
## SiIBr (GGA-PBE)

Data for a relaxed structure of SiIBr.

Properties
As for the space-group type: Pnma, No. 62. For the energy relative to the elements, uncorrected, the calculation gives -175 meV per atom. As for the energy: -36.68 eV per cell. As for the total moment: 0.00 Bohr magnetons per cell. Its crystal system is orthorhombic. The density of states at the Fermi level comes out at 0.0 states/eV/cell. The energy above the most stable polymorph in this dataset is 0.274 eV per atom.

Lattice parameters (Å, degrees): 4.0721 10.2545 11.2858 90.00 90.00 90.00
Atoms (fractional coordinates):
I (0.7500, 0.5311, 0.6897)
I (0.7500, 0.0311, 0.8103)
I (0.2500, 0.9689, 0.1897)
I (0.2500, 0.4689, 0.3103)
Si (0.2500, 0.9529, 0.6547)
Si (0.7500, 0.5471, 0.1547)
Si (0.7500, 0.0471, 0.3453)
Si (0.2500, 0.4529, 0.8453)
Br (0.7500, 0.8505, 0.4564)
Br (0.2500, 0.1495, 0.5436)
Br (0.7500, 0.3505, 0.0436)
Br (0.2500, 0.6495, 0.9564)

(2)
## Si3IBr (GGA-PBE)

Data for a relaxed structure of Si3IBr.

Properties
As for the space-group type: Pm-3m, No. 221. For the energy relative to the elements, uncorrected, the calculation gives 1409 meV per atom. As for the energy: -12.45 eV per cell. As for the total moment: 0.00 Bohr magnetons per cell. Its crystal system is cubic. The density of states at the Fermi level comes out at 8.3 states/eV/cell. The energy above the most stable polymorph in this dataset is 0.000 eV per atom.

Lattice parameters (Å, degrees): 5.1780 5.1780 5.1780 90.00 90.00 90.00
Atoms (fractional coordinates):
Si (0.0000, 0.0000, 0.5000)
Si (0.0000, 0.5000, 0.0000)
Si (0.5000, 0.0000, 0.0000)
Br (0.0000, 0.0000, 0.0000)
I (0.5000, 0.5000, 0.5000)

(3)
## SiI3Br (GGA-PBE)

Data for a relaxed structure of SiI3Br.

Properties
As for the space-group type: Pm-3m, No. 221. For the energy relative to the elements, uncorrected, the calculation gives 871 meV per atom. As for the energy: -7.39 eV per cell. As for the total moment: 0.81 Bohr magnetons per cell. Its crystal system is cubic. The density of states at the Fermi level comes out at 3.9 states/eV/cell. The energy above the most stable polymorph in this dataset is 1.336 eV per atom.

Lattice parameters (Å, degrees): 5.9046 5.9046 5.9046 90.00 90.00 90.00
Each line ends with the local moment (μB).
Atoms (fractional coordinates):
I (0.0000, 0.0000, 0.5000)  -0.05
I (0.5000, 0.0000, 0.0000)  -0.04
I (0.0000, 0.5000, 0.0000)  -0.04
Br (0.0000, 0.0000, 0.0000)  -0.05
Si (0.5000, 0.5000, 0.5000)  0.33

(4)
## SiIBr (GGA-PBE)

Data for a relaxed structure of SiIBr.

Properties
As for the space-group type: C2/m, No. 12. For the energy relative to the elements, uncorrected, the calculation gives -449 meV per atom. As for the energy: -19.98 eV per cell. As for the total moment: 0.00 Bohr magnetons per cell. Its crystal system is monoclinic. The energy above the most stable polymorph in this dataset is 0.000 eV per atom.

Lattice parameters (Å, degrees): 4.1206 8.0881 7.8618 99.17 90.02 75.22
Atoms (fractional coordinates):
I (0.5097, 0.4253, 0.6873)
I (0.6810, 0.0833, 0.1354)
Br (0.9232, 0.5983, 0.1853)
Br (0.2665, 0.9102, 0.6371)
Si (0.8332, 0.7787, 0.9914)
Si (0.3575, 0.7300, 0.8312)

(5)
## SiIBr2 (GGA-PBE)

Data for a relaxed structure of SiIBr2.

Properties
As for the space-group type: R-3m, No. 166. For the energy relative to the elements, uncorrected, the calculation gives -55 meV per atom. As for the energy: -10.54 eV per cell. As for the total moment: 0.00 Bohr magnetons per cell. Its crystal system is trigonal. The density of states at the Fermi level comes out at 2.4 states/eV/cell. The energy above the most stable polymorph in this dataset is 0.000 eV per atom.

Lattice parameters (Å, degrees): 12.3037 12.3037 12.3037 17.63 17.63 17.63
Atoms (fractional coordinates):
I (0.0000, 0.0000, 0.0000)
Si (0.5000, 0.5000, 0.5000)
Br (0.8789, 0.8789, 0.8789)
Br (0.1211, 0.1211, 0.1211)

(6)
## SiI3Br (GGA-PBE)

Data for a relaxed structure of SiI3Br.

Properties
As for the space-group type: P1, No. 1. For the energy relative to the elements, uncorrected, the calculation gives -465 meV per atom. As for the energy: -28.14 eV per cell. As for the total moment: 0.00 Bohr magnetons per cell. Its crystal system is triclinic. The density of states at the Fermi level comes out at 0.0 states/eV/cell. The energy above the most stable polymorph in this dataset is 0.000 eV per atom.

Lattice parameters (Å, degrees): 7.3360 7.1541 10.5044 89.99 90.11 89.96
Atoms (fractional coordinates):
I (0.5825, 0.9900, 0.1100)
I (0.0841, 0.3641, 0.9891)
I (0.5531, 0.4420, 0.8005)
I (0.0533, 0.9105, 0.2975)
I (0.5884, 0.9862, 0.4919)
I (0.0863, 0.3655, 0.6073)
Br (0.6744, 0.5436, 0.2984)
Br (0.1740, 0.8091, 0.7991)
Si (0.7239, 0.8507, 0.2995)
Si (0.2236, 0.5021, 0.7989)

(7)
## Sr4SiI2Br (GGA-PBE)

Data for a relaxed structure of Sr4SiI2Br.

Properties
As for the space-group type: P2/m, No. 10. For the energy relative to the elements, uncorrected, the calculation gives -1145 meV per atom. As for the energy: -26.09 eV per cell. As for the total moment: 0.00 Bohr magnetons per cell. Its crystal system is monoclinic. The density of states at the Fermi level comes out at 3.8 states/eV/cell.

Lattice parameters (Å, degrees): 4.6785 8.3423 8.0202 71.31 90.00 90.00
Atoms (fractional coordinates):
Br (0.5000, 0.5000, 0.0000)
Sr (0.5000, 0.2947, 0.7147)
Sr (0.5000, 0.7053, 0.2853)
Sr (0.0000, 0.7164, 0.7363)
Sr (0.0000, 0.2836, 0.2637)
Si (0.0000, 0.5000, 0.5000)
I (0.0000, 0.0000, 0.0000)
I (0.5000, 0.0000, 0.5000)

(8)
## SiTe2IBr (GGA-PBE)

Data for a relaxed structure of SiTe2IBr.

Properties
As for the space-group type: P4/mmm, No. 123. For the energy relative to the elements, uncorrected, the calculation gives 1069 meV per atom. As for the energy: -9.58 eV per cell. As for the total moment: 0.21 Bohr magnetons per cell. Its crystal system is tetragonal. The density of states at the Fermi level comes out at 5.3 states/eV/cell. The energy above the most stable polymorph in this dataset is 0.672 eV per atom.

Lattice parameters (Å, degrees): 5.6721 5.6721 5.6742 90.00 90.00 90.00
Each line ends with the local moment (μB).
Atoms (fractional coordinates):
Te (0.5000, 0.0000, 0.0000)  0.11
Te (0.0000, 0.5000, 0.0000)  0.11
Br (0.0000, 0.0000, 0.0000)  0.06
Si (0.5000, 0.5000, 0.5000)  -0.08
I (0.0000, 0.0000, 0.5000)  0.00